## GeSeBr2O (GGA-PBE)

Data for an optimized crystal structure of GeSeBr2O.

a = 4.8033 Å, b = 4.8033 Å, c = 4.4983 Å
α = 90.00°, β = 90.00°, γ = 90.00°
Closest atoms and distances in Å follow each position.
Space group P4/mmm (No. 123)
Asymmetric unit:
Ge: 0.0000 0.0000 0.0000 (multiplicity 1)  8 Br 3.29, 4 Se 3.40
Se: 0.5000 0.5000 0.0000 (multiplicity 1)  2 O 2.25
Br: 0.0000 0.5000 0.5000 (multiplicity 2)  2 O 2.40
O: 0.5000 0.5000 0.5000 (multiplicity 1)  2 Se 2.25, 4 Br 2.40

## Properties
offset from the most stable computed form: 0.0 meV per atom
E_form (uncorrected): 2.2 eV per formula unit

***

## ThGeBrO4 (GGA-PBE)

Data for an optimized crystal structure of ThGeBrO4.

a = 11.9730 Å, b = 6.4932 Å, c = 6.9893 Å
α = 90.00°, β = 102.17°, γ = 90.00°
Closest atoms and distances in Å follow each position.
Space group C2/m (No. 12)
Asymmetric unit:
Th: 0.2022 0.0000 0.3258 (multiplicity 4)  4 O 2.18-2.34
Ge: 0.1323 0.0000 0.7612 (multiplicity 4)  4 O 1.74-1.81
Br: 0.0190 0.5000 0.1685 (multiplicity 4)  1 Br 2.30
O: 0.0165 0.0000 0.2734 (multiplicity 4)  1 Ge 1.75
O: 0.1824 0.2058 0.6270 (multiplicity 8)  1 Ge 1.81
O: 0.1971 0.0000 0.0093 (multiplicity 4)  1 Ge 1.74

## Properties
E_form (uncorrected): -15.7 eV per formula unit

***

What is the formula in the second record? ThGeBrO4

***

Which value of E_form (uncorrected) does entry 2 give? -15.7 eV per formula unit

***

Which value of E_form (uncorrected) does entry 1 give? 2.2 eV per formula unit

***

Among the records above, which one has the lowest E_form (uncorrected)? ThGeBrO4